1.
A plane-wave DFT calculation with PBE-GGA was carried out for Pm6SbAs4 after structural relaxation. Values from VASP.

```
&SYSTEM
  ibrav = 0, nat = 22, ntyp = 3
/
ATOMIC_SPECIES
Pm 145.00 Pm.upf
Sb 121.76 Sb.upf
As 74.92 As.upf
ATOMIC_POSITIONS crystal
Pm 0.000 0.000 0.000
Pm 0.000 0.000 0.500
Pm 0.173 0.827 0.750
Pm 0.272 0.728 0.082
Pm 0.272 0.728 0.418
Pm 0.459 0.541 0.661
Pm 0.459 0.541 0.839
Pm 0.541 0.459 0.161
Pm 0.541 0.459 0.339
Pm 0.728 0.272 0.582
Pm 0.728 0.272 0.918
Pm 0.827 0.173 0.250
Sb 0.162 0.838 0.250
Sb 0.838 0.162 0.750
As 0.092 0.908 0.626
As 0.092 0.908 0.874
As 0.363 0.637 0.542
As 0.363 0.637 0.958
As 0.637 0.363 0.042
As 0.637 0.363 0.458
As 0.908 0.092 0.126
As 0.908 0.092 0.374
CELL_PARAMETERS angstrom
2.134 -6.965 0.000
2.134 6.965 0.000
0.000 0.000 21.337
```

Output
Formation energy (no corrections) ... -1.3452 eV/atom

=====

2.
A plane-wave DFT calculation with PBE-GGA was carried out for Cr3Pt5 after structural relaxation. Values from VASP.

```
&SYSTEM
  ibrav = 0, nat = 16, ntyp = 2
/
ATOMIC_SPECIES
Cr 52.00 Cr.upf
Pt 195.08 Pt.upf
ATOMIC_POSITIONS crystal
Cr 0.000 0.402 0.250
Cr 0.000 0.598 0.750
Cr 0.402 0.000 0.250
Cr 0.402 0.402 0.750
Cr 0.598 0.000 0.750
Cr 0.598 0.598 0.250
Pt 0.000 0.227 0.750
Pt 0.000 0.773 0.250
Pt 0.227 0.000 0.750
Pt 0.227 0.227 0.250
Pt 0.333 0.667 0.000
Pt 0.333 0.667 0.500
Pt 0.667 0.333 0.000
Pt 0.667 0.333 0.500
Pt 0.773 0.000 0.250
Pt 0.773 0.773 0.750
CELL_PARAMETERS angstrom
7.474 0.000 0.000
-3.737 6.473 0.000
0.000 0.000 5.131
```

Output
Energy of formation ... 0.034 eV per atom

=====

3.
A plane-wave DFT calculation with PBE-GGA was carried out for La2MgAg after structural relaxation. Values from VASP.

```
&SYSTEM
  ibrav = 0, nat = 4, ntyp = 3
/
ATOMIC_SPECIES
La 138.91 La.upf
Mg 24.30 Mg.upf
Ag 107.87 Ag.upf
ATOMIC_POSITIONS crystal
La 0.000 0.000 0.240
La 0.000 0.000 0.760
Mg 0.500 0.500 0.500
Ag 0.500 0.500 0.000
CELL_PARAMETERS angstrom
3.930 0.000 0.000
0.000 3.930 0.000
0.000 0.000 7.620
```

Output
Energy of formation ... -0.185 eV per atom

=====

4.
A plane-wave DFT calculation with PBE-GGA was carried out for Ac4RhS2Br after structural relaxation. Values from VASP.

```
&SYSTEM
  ibrav = 0, nat = 8, ntyp = 4
/
ATOMIC_SPECIES
Ac 227.00 Ac.upf
Rh 102.91 Rh.upf
S 32.06 S.upf
Br 79.90 Br.upf
ATOMIC_POSITIONS crystal
Ac 0.231 0.000 0.230
Ac 0.257 0.500 0.771
Ac 0.743 0.500 0.229
Ac 0.769 0.000 0.770
Rh 0.500 0.000 0.000
S 0.000 0.000 0.500
S 0.000 0.500 0.000
Br 0.500 0.500 0.500
CELL_PARAMETERS angstrom
7.694 0.000 0.000
0.000 4.254 0.000
-2.449 0.000 7.355
```

Output
Formation energy (no corrections) ... -1.4438 eV/atom

=====

What did the first record say?
A plane-wave DFT calculation with PBE-GGA was carried out for Pm6SbAs4 after structural relaxation. Values from VASP.

```
&SYSTEM
  ibrav = 0, nat = 22, ntyp = 3
/
ATOMIC_SPECIES
Pm 145.00 Pm.upf
Sb 121.76 Sb.upf
As 74.92 As.upf
ATOMIC_POSITIONS crystal
Pm 0.000 0.000 0.000
Pm 0.000 0.000 0.500
Pm 0.173 0.827 0.750
Pm 0.272 0.728 0.082
Pm 0.272 0.728 0.418
Pm 0.459 0.541 0.661
Pm 0.459 0.541 0.839
Pm 0.541 0.459 0.161
Pm 0.541 0.459 0.339
Pm 0.728 0.272 0.582
Pm 0.728 0.272 0.918
Pm 0.827 0.173 0.250
Sb 0.162 0.838 0.250
Sb 0.838 0.162 0.750
As 0.092 0.908 0.626
As 0.092 0.908 0.874
As 0.363 0.637 0.542
As 0.363 0.637 0.958
As 0.637 0.363 0.042
As 0.637 0.363 0.458
As 0.908 0.092 0.126
As 0.908 0.092 0.374
CELL_PARAMETERS angstrom
2.134 -6.965 0.000
2.134 6.965 0.000
0.000 0.000 21.337
```

Output
Formation energy (no corrections) ... -1.3452 eV/atom

=====

Question: Which formula does entry 2 have?
Answer: Cr3Pt5

=====

Question: Number 4 is which compound?
Answer: Ac4RhS2Br